No. 1
First-principles (PBE-GGA) data for crystalline Tb4NdS7 at its relaxed geometry, as listed in Alexandria.

ΔE_f (raw) = -24.74 eV per formula unit

a b c (Å): 3.848 6.810 11.730
angles (deg): 103.93 90.00 106.41
Element x y z (fractional)
1 Tb 0.700 0.401 0.814
2 Tb 0.300 0.600 0.187
3 Tb 0.001 0.002 0.002
4 Tb 0.112 0.224 0.418
5 Nd 0.889 0.777 0.580
6 S 0.738 0.477 0.348
7 S 0.253 0.506 0.649
8 S 0.342 0.685 0.950
9 S 0.659 0.319 0.051
10 S 0.045 0.091 0.790
11 S 0.957 0.913 0.215
12 S 0.503 0.006 0.496

No. 2
First-principles (PBE-GGA) data for crystalline GdTl2Pb at its relaxed geometry, as listed in Alexandria.

ΔH_f (0 K) = -0.289 eV/atom

a b c (Å): 5.067 4.706 4.706
angles (deg): 90.00 90.00 90.00
Site moments in Bohr magnetons follow the coordinates.
Element x y z (fractional)
1 Pb 0.500 0.000 0.000  -0.04
2 Tl 0.000 0.000 0.500  0.00
3 Tl 0.000 0.500 0.000  0.00
4 Gd 0.500 0.500 0.500  6.97

No. 3
First-principles (PBE-GGA) data for crystalline Ti17N6O24 at its relaxed geometry, as listed in Alexandria.

ΔE_f (raw) = -124.63 eV per formula unit

a b c (Å): 7.634 10.047 14.616
angles (deg): 90.00 97.51 90.00
Element x y z (fractional)
1 Ti 0.856 0.429 0.423
2 Ti 0.856 0.071 0.423
3 Ti 0.869 0.750 0.465
4 Ti 0.810 0.938 0.241
5 Ti 0.810 0.562 0.241
6 Ti 0.690 0.428 0.762
7 Ti 0.690 0.072 0.762
8 Ti 0.700 0.750 0.801
9 Ti 0.469 0.924 0.907
10 Ti 0.531 0.424 0.093
11 Ti 0.644 0.927 0.575
12 Ti 0.644 0.573 0.575
13 Ti 0.537 0.750 0.131
14 Ti 0.531 0.076 0.093
15 Ti 0.469 0.576 0.907
16 Ti 0.637 0.250 0.537
17 Ti 0.463 0.250 0.869
18 Ti 0.363 0.750 0.463
19 Ti 0.356 0.073 0.425
20 Ti 0.356 0.427 0.425
21 Ti 0.300 0.250 0.199
22 Ti 0.310 0.928 0.238
23 Ti 0.190 0.062 0.759
24 Ti 0.190 0.438 0.759
25 Ti 0.310 0.572 0.238
26 Ti 0.144 0.929 0.577
27 Ti 0.029 0.750 0.131
28 Ti 0.984 0.923 0.907
29 Ti 0.016 0.077 0.093
30 Ti 0.016 0.423 0.093
31 Ti 0.144 0.571 0.577
32 Ti 0.131 0.250 0.535
33 Ti 0.971 0.250 0.869
34 Ti 0.984 0.577 0.907
35 N 0.794 0.750 0.178
36 N 0.871 0.250 0.489
37 N 0.705 0.250 0.819
38 N 0.627 0.750 0.513
39 N 0.483 0.750 0.857
40 N 0.517 0.250 0.143
41 N 0.295 0.750 0.181
42 N 0.206 0.250 0.822
43 N 0.373 0.250 0.487
44 N 0.129 0.750 0.511
45 N 0.945 0.750 0.856
46 N 0.055 0.250 0.144
47 O 0.886 0.568 0.543
48 O 0.824 0.108 0.304
49 O 0.842 0.878 0.366
50 O 0.886 0.932 0.543
51 O 0.842 0.622 0.366
52 O 0.779 0.048 0.118
53 O 0.718 0.560 0.872
54 O 0.824 0.392 0.304
55 O 0.779 0.452 0.118
56 O 0.718 0.940 0.872
57 O 0.673 0.881 0.698
58 O 0.673 0.619 0.698
59 O 0.447 0.435 0.791
60 O 0.499 0.380 0.968
61 O 0.659 0.381 0.635
62 O 0.553 0.935 0.209
63 O 0.659 0.119 0.635
64 O 0.615 0.436 0.459
65 O 0.615 0.064 0.459
66 O 0.553 0.565 0.209
67 O 0.499 0.120 0.968
68 O 0.501 0.880 0.032
69 O 0.501 0.620 0.032
70 O 0.447 0.065 0.791
71 O 0.221 0.952 0.882
72 O 0.176 0.892 0.696
73 O 0.341 0.881 0.365
74 O 0.282 0.060 0.128
75 O 0.327 0.119 0.302
76 O 0.327 0.381 0.302
77 O 0.221 0.548 0.882
78 O 0.176 0.608 0.696
79 O 0.385 0.936 0.541
80 O 0.341 0.619 0.365
81 O 0.385 0.564 0.541
82 O 0.282 0.440 0.128
83 O 0.015 0.880 0.032
84 O 0.985 0.120 0.968
85 O 0.158 0.122 0.634
86 O 0.051 0.936 0.209
87 O 0.949 0.064 0.791
88 O 0.114 0.068 0.457
89 O 0.051 0.564 0.209
90 O 0.015 0.620 0.032
91 O 0.949 0.436 0.791
92 O 0.158 0.378 0.634
93 O 0.985 0.380 0.968
94 O 0.114 0.432 0.457

No. 4
First-principles (PBE-GGA) data for crystalline LuInIrRu at its relaxed geometry, as listed in Alexandria.

ΔH_f (0 K) = -0.430 eV/atom

a b c (Å): 4.647 4.647 4.647
angles (deg): 60.00 60.00 60.00
Element x y z (fractional)
1 Ru 0.250 0.250 0.250
2 Ir 0.750 0.750 0.750
3 Lu 0.000 0.000 0.000
4 In 0.500 0.500 0.500

No. 5
First-principles (PBE-GGA) data for crystalline BaAs2Ir at its relaxed geometry, as listed in Alexandria.

ΔH_f (0 K) = 0.327 eV/atom

a b c (Å): 5.505 5.505 5.505
angles (deg): 131.79 131.79 70.57
Element x y z (fractional)
1 As 0.000 0.000 0.000
2 As 0.250 0.750 0.500
3 Ir 0.750 0.250 0.500
4 Ba 0.500 0.500 0.000

No. 6
First-principles (PBE-GGA) data for crystalline Ti6VPb3 at its relaxed geometry, as listed in Alexandria.

ΔH_f (0 K) = 0.210 eV/atom

a b c (Å): 7.872 5.793 5.793
angles (deg): 53.51 70.79 70.79
Element x y z (fractional)
1 Ti 0.332 0.120 0.606
2 Ti 0.668 0.394 0.880
3 Ti 0.668 0.880 0.394
4 Ti 0.332 0.606 0.120
5 Ti 0.084 0.618 0.618
6 Ti 0.916 0.382 0.382
7 V 0.500 0.500 0.500
8 Pb 0.302 0.130 0.130
9 Pb 0.698 0.870 0.870
10 Pb 0.000 0.000 0.000

No. 7
First-principles (PBE-GGA) data for crystalline Hf2Ga2P at its relaxed geometry, as listed in Alexandria.

ΔH_f (0 K) = -0.591 eV/atom

a b c (Å): 6.773 6.773 4.192
angles (deg): 90.00 90.00 90.00
Element x y z (fractional)
1 P 0.000 0.000 0.000
2 P 0.500 0.500 0.000
3 Hf 0.331 0.831 0.000
4 Hf 0.831 0.669 0.000
5 Hf 0.669 0.169 0.000
6 Hf 0.169 0.331 0.000
7 Ga 0.139 0.639 0.500
8 Ga 0.639 0.861 0.500
9 Ga 0.861 0.361 0.500
10 Ga 0.361 0.139 0.500

No. 8
First-principles (PBE-GGA) data for crystalline MgRh2 at its relaxed geometry, as listed in Alexandria.

ΔH_f (0 K) = -0.276 eV/atom

a b c (Å): 5.197 5.197 6.632
angles (deg): 75.81 75.81 31.24
Element x y z (fractional)
1 Mg 0.664 0.664 0.675
2 Mg 0.613 0.613 0.270
3 Rh 0.997 0.997 0.990
4 Rh 0.341 0.341 0.332
5 Rh 0.937 0.937 0.612
6 Rh 0.281 0.281 0.954

| no. | density of states at the Fermi level (states/eV/atom) |
| --- | --- |
| 1 | 0.1203 |
| 2 | 0.6067 |
| 3 | 0.1603 |
| 4 | 0.8422 |
| 5 | 0.6702 |
| 6 | 0.9788 |
| 7 | 0.2666 |
| 8 | 1.0072 |